No. 1
DFT (PBE) results for a relaxed structure of Tb2Nd5Rh4.

- energy of formation from the pure elements (eV/atom) = -0.214
- magnetization (μB/atom) = 0.000
- VASP energy (eV per atom) = -5.90
- SG = C2/m
- volume (Å³ per atom) = 27.96

a = 3.8402 Å, b = 7.1375 Å, c = 11.9353 Å
α = 107.49°, β = 99.26°, γ = 90.00°
With the nearest neighbours (Å) after each atom.
Sites, in units of the cell vectors:
Tb 0.7367 0.7137 0.4733  6 Nd 3.60-3.69, 1 Rh 3.81, 4 Tb 3.82-3.84
Tb 0.2633 0.2863 0.5267  6 Nd 3.60-3.69, 1 Rh 3.81, 4 Tb 3.82-3.84
Nd 0.1264 0.8626 0.2528  3 Rh 2.81-2.88
Nd 0.8736 0.1374 0.7472  3 Rh 2.81-2.88
Nd 0.1206 0.3724 0.2412  3 Rh 2.78-2.88
Nd 0.5000 0.0000 0.0000  4 Rh 2.92
Nd 0.8794 0.6276 0.7588  3 Rh 2.78-2.88
Rh 0.5671 0.5672 0.1342  5 Rh 2.78-3.01, 4 Nd 2.88
Rh 0.0017 0.6934 0.0035  5 Rh 2.74-2.82, 4 Nd 2.78-2.92
Rh 0.4329 0.4328 0.8658  5 Rh 2.78-3.01, 4 Nd 2.88
Rh 0.9983 0.3066 0.9965  5 Rh 2.74-2.82, 4 Nd 2.78-2.92



No. 2
DFT (PBE) results for a relaxed structure of TbNdRh.

- energy of formation from the pure elements (eV/atom) = -0.518
- magnetization (μB/atom) = 0.000
- VASP energy (eV per atom) = -6.10
- SG = P2_1/m
- excess energy over the best structure of this formula in the dataset (meV/atom) = 0
- volume (Å³ per atom) = 27.84

a = 4.4941 Å, b = 5.8649 Å, c = 6.5995 Å
α = 106.21°, β = 90.00°, γ = 90.00°
With the nearest neighbours (Å) after each atom.
Sites, in units of the cell vectors:
Tb 0.7522 0.9782 0.7990  3 Rh 2.76-2.81
Tb 0.2523 0.0295 0.2042  3 Rh 2.76-2.81
Nd 0.7522 0.5742 0.2861  3 Rh 2.90-3.01
Nd 0.2522 0.4335 0.7172  3 Rh 2.90-3.01
Rh 0.7523 0.1652 0.4507  3 Tb 2.76-2.81, 3 Nd 2.90-3.01
Rh 0.2522 0.8425 0.5525  3 Tb 2.76-2.81, 3 Nd 2.90-3.01



No. 3
DFT (PBE) results for a relaxed structure of Tb3NdRh8.

- energy of formation from the pure elements (eV/atom) = -0.685
- magnetization (μB/atom) = 0.000
- VASP energy (eV per atom) = -7.14
- SG = P3m1
- volume (Å³ per atom) = 18.22

a = 5.3607 Å, b = 5.3607 Å, c = 8.7844 Å
α = 90.00°, β = 90.00°, γ = 120.00°
With the nearest neighbours (Å) after each atom.
Sites, in units of the cell vectors:
Tb 0.6667 0.3333 0.4314  12 Rh 3.13-3.21, 1 Tb 3.21, 3 Nd 3.32
Tb 0.6667 0.3333 0.0662  12 Rh 3.12-3.15, 4 Tb 3.21-3.31
Tb 0.0000 0.0000 0.9340  12 Rh 3.12-3.15, 1 Nd 3.22, 3 Tb 3.31
Nd 0.0000 0.0000 0.5675  12 Rh 3.13-3.20, 4 Tb 3.22-3.32
Rh 0.3333 0.6667 0.4994  6 Rh 2.71-2.72
Rh 0.3333 0.6667 0.0000  6 Rh 2.68
Rh 0.5019 0.0039 0.7526  6 Rh 2.65-2.72
Rh 0.5019 0.4981 0.7526  6 Rh 2.65-2.72
Rh 0.9961 0.4981 0.7526  6 Rh 2.65-2.72
Rh 0.1649 0.3297 0.2479  6 Rh 2.65-2.71
Rh 0.1649 0.8351 0.2479  6 Rh 2.65-2.71
Rh 0.6703 0.8351 0.2479  6 Rh 2.65-2.71



No. 4
DFT (PBE) results for a relaxed structure of TbNd4Rh4.

- energy of formation from the pure elements (eV/atom) = -0.575
- magnetization (μB/atom) = 0.000
- VASP energy (eV per atom) = -6.48
- SG = P4_2/n
- volume (Å³ per atom) = 25.70

a = 5.7953 Å, b = 8.9338 Å, c = 8.9338 Å
α = 90.00°, β = 90.00°, γ = 90.00°
With the nearest neighbours (Å) after each atom.
Sites, in units of the cell vectors:
Tb 0.0000 0.0000 0.0000  4 Rh 2.73
Tb 0.5000 0.5000 0.5000  4 Rh 2.73
Nd 0.4060 0.3096 0.9174  5 Rh 2.84-3.06
Nd 0.9060 0.5826 0.8096  5 Rh 2.84-3.06
Nd 0.4060 0.6904 0.0826  5 Rh 2.84-3.06
Nd 0.0940 0.1904 0.5826  5 Rh 2.84-3.06
Nd 0.5940 0.9174 0.6904  5 Rh 2.84-3.06
Nd 0.0940 0.8096 0.4174  5 Rh 2.84-3.06
Nd 0.9060 0.4174 0.1904  5 Rh 2.84-3.06
Nd 0.5940 0.0826 0.3096  5 Rh 2.84-3.06
Rh 0.6016 0.7726 0.3794  1 Tb 2.73, 4 Nd 2.84-2.98, 1 Rh 2.91
Rh 0.6016 0.2274 0.6206  1 Tb 2.73, 4 Nd 2.84-2.98, 1 Rh 2.91
Rh 0.1016 0.8794 0.7274  1 Tb 2.73, 4 Nd 2.84-2.98, 1 Rh 2.91
Rh 0.8984 0.2726 0.8794  1 Tb 2.73, 4 Nd 2.84-2.98, 1 Rh 2.91
Rh 0.8984 0.7274 0.1206  1 Tb 2.73, 4 Nd 2.84-2.98, 1 Rh 2.91
Rh 0.3984 0.3794 0.2274  1 Tb 2.73, 4 Nd 2.84-2.98, 1 Rh 2.91
Rh 0.3984 0.6206 0.7726  1 Tb 2.73, 4 Nd 2.84-2.98, 1 Rh 2.91
Rh 0.1016 0.1206 0.2726  1 Tb 2.73, 4 Nd 2.84-2.98, 1 Rh 2.91



No. 5
DFT (PBE) results for a relaxed structure of Nd8TcRh2.

- energy of formation from the pure elements (eV/atom) = -0.183
- magnetization (μB/atom) = 0.000
- VASP energy (eV per atom) = -5.93
- SG = Cm
- volume (Å³ per atom) = 28.97

a = 6.1537 Å, b = 7.8360 Å, c = 7.8360 Å
α = 115.34°, β = 101.08°, γ = 101.08°
With the nearest neighbours (Å) after each atom.
Sites, in units of the cell vectors:
Nd 0.5880 0.3399 0.0895  2 Rh 2.85
Nd 0.5880 0.0895 0.3399  2 Rh 2.85
Nd 0.1782 0.3642 0.3642  1 Tc 2.77
Nd 0.9947 0.2044 0.7882  1 Tc 2.78
Nd 0.9947 0.7882 0.2044  1 Tc 2.78
Nd 0.8159 0.6462 0.6462  1 Tc 2.88, 2 Rh 3.23
Nd 0.3934 0.9158 0.6620  2 Rh 2.84-2.87
Nd 0.3934 0.6620 0.9158  2 Rh 2.84-2.87
Tc 0.0548 0.0118 0.0118  4 Nd 2.77-2.88
Rh 0.4993 0.7040 0.3079  4 Nd 2.84-2.87
Rh 0.4993 0.3079 0.7040  4 Nd 2.84-2.87



No. 6
DFT (PBE) results for a relaxed structure of NdTeRh.

- magnetization (μB/atom) = 0.000
- formation energy (no corrections) (meV/atom) = -979
- VASP energy (eV per atom) = -6.07
- SG = Pnma
- volume (Å³ per atom) = 25.80

a = 4.5601 Å, b = 6.7196 Å, c = 10.1030 Å
α = 90.00°, β = 90.00°, γ = 90.00°
With the nearest neighbours (Å) after each atom.
Sites, in units of the cell vectors:
Rh 0.7500 0.0512 0.3353  3 Te 2.72-2.74, 4 Nd 2.76-2.98
Rh 0.2500 0.5512 0.1647  3 Te 2.72-2.74, 4 Nd 2.76-2.98
Rh 0.7500 0.4488 0.8353  3 Te 2.72-2.74, 4 Nd 2.76-2.98
Rh 0.2500 0.9488 0.6647  3 Te 2.72-2.74, 4 Nd 2.76-2.98
Te 0.7500 0.7732 0.1398  3 Rh 2.72-2.74
Te 0.2500 0.2268 0.8602  3 Rh 2.72-2.74
Te 0.7500 0.7268 0.6398  3 Rh 2.72-2.74
Te 0.2500 0.2732 0.3602  3 Rh 2.72-2.74
Nd 0.7500 0.2215 0.6072  4 Rh 2.76-2.98
Nd 0.7500 0.2785 0.1072  4 Rh 2.76-2.98
Nd 0.2500 0.7785 0.3928  4 Rh 2.76-2.98
Nd 0.2500 0.7215 0.8928  4 Rh 2.76-2.98



No. 7
DFT (PBE) results for a relaxed structure of Nd3Te2Rh.

- magnetization (μB/atom) = 0.000
- formation energy (no corrections) (meV/atom) = -1124
- VASP energy (eV per atom) = -5.78
- SG = I4/mmm
- excess energy over the best structure of this formula in the dataset (meV/atom) = 7
- volume (Å³ per atom) = 30.48

a = 4.4206 Å, b = 4.4209 Å, c = 9.8677 Å
α = 102.95°, β = 102.95°, γ = 90.00°
With the nearest neighbours (Å) after each atom.
Sites, in units of the cell vectors:
Nd 0.9341 0.9358 0.8740  4 Rh 3.13, 2 Te 3.28
Nd 0.2911 0.2925 0.5875  1 Rh 2.68
Nd 0.5775 0.5789 0.1604  1 Rh 2.68
Te 0.1094 0.1108 0.2242  6 Nd 3.18-3.40
Te 0.7592 0.7605 0.5237  6 Nd 3.18-3.40
Rh 0.4340 0.4357 0.8739  2 Nd 2.68



No. 8
DFT (PBE) results for a relaxed structure of Nd6Te5Rh.

- magnetization (μB/atom) = 0.000
- formation energy (no corrections) (meV/atom) = -1316
- VASP energy (eV per atom) = -5.62
- SG = C2/m
- volume (Å³ per atom) = 31.62

a = 7.7291 Å, b = 8.9417 Å, c = 7.7460 Å
α = 106.95°, β = 99.69°, γ = 124.94°
With the nearest neighbours (Å) after each atom.
Sites, in units of the cell vectors:
Rh 0.0000 0.0000 0.0000  6 Nd 2.86-2.96
Te 0.3201 0.8201 0.6402  6 Nd 3.19-3.33
Te 0.6642 0.6642 0.3283  6 Nd 3.19
Te 0.0000 0.5000 0.0000  6 Nd 3.18-3.38
Te 0.3358 0.3358 0.6717  6 Nd 3.19
Te 0.6799 0.1799 0.3598  6 Nd 3.19-3.33
Nd 0.1503 0.3766 0.3030  1 Rh 2.86, 4 Te 3.18-3.19
Nd 0.1527 0.9265 0.3030  1 Rh 2.86, 4 Te 3.18-3.19
Nd 0.4668 0.2256 0.0000  1 Rh 2.96, 4 Te 3.19-3.25
Nd 0.5332 0.7744 0.0000  1 Rh 2.96, 4 Te 3.19-3.25
Nd 0.8473 0.0735 0.6970  1 Rh 2.86, 4 Te 3.18-3.19
Nd 0.8497 0.6234 0.6970  1 Rh 2.86, 4 Te 3.18-3.19



No. 9
DFT (PBE) results for a relaxed structure of Nd4TeRh2.

- magnetization (μB/atom) = 0.000
- formation energy (no corrections) (meV/atom) = -719
- VASP energy (eV per atom) = -5.99
- SG = Fddd
- volume (Å³ per atom) = 34.08

a = 8.7740 Å, b = 8.7739 Å, c = 8.7629 Å
α = 119.97°, β = 119.96°, γ = 90.11°
With the nearest neighbours (Å) after each atom.
Sites, in units of the cell vectors:
Nd 0.8573 0.1437 0.2867  3 Rh 2.89-2.90, 1 Te 3.08
Nd 0.3927 0.6063 0.2133  3 Rh 2.89-2.90, 1 Te 3.08
Nd 0.8570 0.5704 0.7133  3 Rh 2.89-2.90, 1 Te 3.08
Nd 0.8563 0.1427 0.7132  3 Rh 2.89-2.90, 1 Te 3.08
Nd 0.4296 0.1430 0.2867  3 Rh 2.89-2.90, 1 Te 3.08
Nd 0.3930 0.1796 0.7867  3 Rh 2.89-2.90, 1 Te 3.08
Nd 0.3937 0.6073 0.7868  3 Rh 2.89-2.90, 1 Te 3.08
Nd 0.8204 0.6070 0.2133  3 Rh 2.89-2.90, 1 Te 3.08
Te 0.2498 0.7501 0.5000  4 Nd 3.08
Te 0.0002 0.9999 0.0000  4 Nd 3.08
Rh 0.6250 0.3750 0.7500  6 Nd 2.89-2.90
Rh 0.6250 0.8750 0.2500  6 Nd 2.89-2.90
Rh 0.6250 0.3750 0.2500  6 Nd 2.89-2.90
Rh 0.1250 0.3750 0.7500  6 Nd 2.89-2.90



No. 10
DFT (PBE) results for a relaxed structure of Nd2TeRh.

- magnetization (μB/atom) = 0.000
- formation energy (no corrections) (meV/atom) = -1010
- VASP energy (eV per atom) = -6.02
- SG = Cmcm
- excess energy over the best structure of this formula in the dataset (meV/atom) = 0
- volume (Å³ per atom) = 27.93

a = 4.5601 Å, b = 4.1309 Å, c = 12.0407 Å
α = 99.88°, β = 90.00°, γ = 90.00°
With the nearest neighbours (Å) after each atom.
Sites, in units of the cell vectors:
Nd 0.7500 0.6604 0.3209  1 Rh 2.82
Nd 0.2500 0.3396 0.6791  1 Rh 2.82
Nd 0.7500 0.9433 0.8866  6 Rh 3.10-3.12, 1 Te 3.26
Nd 0.2500 0.0567 0.1134  6 Rh 3.10-3.12, 1 Te 3.26
Te 0.2500 0.1940 0.3881  6 Nd 3.18-3.45
Te 0.7500 0.8060 0.6119  6 Nd 3.18-3.45
Rh 0.2500 0.4584 0.9167  7 Nd 2.82-3.12, 2 Rh 3.02
Rh 0.7500 0.5416 0.0833  7 Nd 2.82-3.12, 2 Rh 3.02



No. 11
DFT (PBE) results for a relaxed structure of Nd5Te2Rh2.

- magnetization (μB/atom) = 0.000
- formation energy (no corrections) (meV/atom) = -950
- VASP energy (eV per atom) = -5.93
- SG = Cmce
- volume (Å³ per atom) = 28.74

a = 8.0576 Å, b = 8.0289 Å, c = 8.9547 Å
α = 90.00°, β = 63.26°, γ = 90.00°
With the nearest neighbours (Å) after each atom.
Sites, in units of the cell vectors:
Nd 0.0000 0.0000 0.0000  4 Rh 3.10-3.13, 2 Te 3.32
Nd 0.5000 0.5000 0.0000  4 Rh 3.10-3.13, 2 Te 3.32
Nd 0.4578 0.1593 0.7624  3 Rh 2.98-3.08, 2 Te 3.32-3.33
Nd 0.7798 0.8407 0.7624  3 Rh 2.98-3.08, 2 Te 3.32-3.33
Nd 0.2798 0.6593 0.7624  3 Rh 2.98-3.08, 2 Te 3.32-3.33
Nd 0.9578 0.3407 0.7624  3 Rh 2.98-3.08, 2 Te 3.32-3.33
Nd 0.5422 0.8407 0.2376  3 Rh 2.98-3.08, 2 Te 3.32-3.33
Nd 0.2202 0.1593 0.2376  3 Rh 2.98-3.08, 2 Te 3.32-3.33
Nd 0.7202 0.3407 0.2376  3 Rh 2.98-3.08, 2 Te 3.32-3.33
Nd 0.0422 0.6593 0.2376  3 Rh 2.98-3.08, 2 Te 3.32-3.33
Te 0.2075 0.0000 0.5850  7 Nd 3.32-3.34
Te 0.7075 0.5000 0.5850  7 Nd 3.32-3.34
Te 0.7925 0.0000 0.4150  7 Nd 3.32-3.34
Te 0.2925 0.5000 0.4150  7 Nd 3.32-3.34
Rh 0.1396 0.3633 0.0000  8 Nd 2.98-3.13, 1 Rh 3.14
Rh 0.8604 0.6367 0.0000  8 Nd 2.98-3.13, 1 Rh 3.14
Rh 0.3604 0.8633 0.0000  8 Nd 2.98-3.13, 1 Rh 3.14
Rh 0.6396 0.1367 0.0000  8 Nd 2.98-3.13, 1 Rh 3.14